This record from Alexandria via LeMat-Bulk describes a geometry-optimized Ca2H2Se structure. The functional is PBE.

```
data_Ca2H2Se
_chemical_formula_sum 'Ca4 H4 Se2'
_cell_length_a 3.7525
_cell_length_b 3.7525
_cell_length_c 11.9970
_cell_angle_alpha 90.00
_cell_angle_beta 90.00
_cell_angle_gamma 90.00
_space_group_name_H-M_alt 'I 4/m m m'
_space_group_IT_number 139
_space_group_name_Hall '-I 4 2'
loop_
_atom_site_label
_atom_site_fract_x
_atom_site_fract_y
_atom_site_fract_z
Ca1 0.0000 0.0000 0.1419
H1 0.0000 0.5000 0.2500
Se1 0.0000 0.0000 0.5000
```

Results
**Fermi-level density of states**: 0.00 states/eV per cell
**Uncorrected energy**: -39.6 eV per cell

***

This record from Alexandria via LeMat-Bulk describes a geometry-optimized Ce2NdGa2Au2 structure. The functional is PBE.

```
data_Ce2NdGa2Au2
_chemical_formula_sum 'Ce6 Nd3 Ga6 Au6'
_cell_length_a 4.4899
_cell_length_b 4.4899
_cell_length_c 27.4773
_cell_angle_alpha 90.00
_cell_angle_beta 90.00
_cell_angle_gamma 120.00
_space_group_name_H-M_alt 'R -3 m'
_space_group_IT_number 166
_space_group_name_Hall '-R 3 2"'
loop_
_atom_site_label
_atom_site_fract_x
_atom_site_fract_y
_atom_site_fract_z
Ce1 0.0000 0.0000 0.1404
Nd1 0.0000 0.0000 0.0000
Ga1 0.0000 0.0000 0.2584
Au1 0.0000 0.0000 0.4058
```

Results
**Fermi-level density of states**: 27.24 states/eV per cell
**Energy of formation**: -59.7 kJ per mole of atoms

***

This record from Alexandria via LeMat-Bulk describes a geometry-optimized Zr2Ni15Ir2 structure. The functional is PBE.

```
data_Zr2Ni15Ir2
_chemical_formula_sum 'Zr6 Ni45 Ir6'
_cell_length_a 8.2425
_cell_length_b 8.2425
_cell_length_c 12.1327
_cell_angle_alpha 90.00
_cell_angle_beta 90.00
_cell_angle_gamma 120.00
_space_group_name_H-M_alt 'R -3 m'
_space_group_IT_number 166
_space_group_name_Hall '-R 3 2"'
loop_
_atom_site_label
_atom_site_fract_x
_atom_site_fract_y
_atom_site_fract_z
Zr1 0.0000 0.0000 0.1619
Ni1 0.0000 0.3045 0.5000
Ni2 0.0000 0.5000 0.0000
Ni3 0.0078 0.5039 0.6546
Ir1 0.0000 0.0000 0.3945
```

Results
**Fermi-level density of states**: 78.45 states/eV per cell
**Energy of formation**: -16.7 kJ per mole of atoms

***

This record from Alexandria via LeMat-Bulk describes a geometry-optimized AlI2N structure. The functional is PBE.

```
data_AlI2N
_chemical_formula_sum 'Al4 I8 N4'
_cell_length_a 7.3618
_cell_length_b 7.3618
_cell_length_c 7.3618
_cell_angle_alpha 90.00
_cell_angle_beta 90.00
_cell_angle_gamma 90.00
_space_group_name_H-M_alt 'F m -3 m'
_space_group_IT_number 225
_space_group_name_Hall '-F 4 2 3'
loop_
_atom_site_label
_atom_site_fract_x
_atom_site_fract_y
_atom_site_fract_z
Al1 0.0000 0.0000 0.0000
I1 0.2500 0.2500 0.2500
N1 0.0000 0.0000 0.5000
```

Results
**Fermi-level density of states**: 6.96 states/eV per cell
**ΔE_f (raw)**: 495.6 kJ/mol of formula units

***

Q: Fermi-level density of states of number 1 (Ca2H2Se)?
A: 0.00 states/eV per cell

***

Q: What is the Fermi-level density of states in the third record?
A: 78.45 states/eV per cell

***

Repeat the second record exactly.
This record from Alexandria via LeMat-Bulk describes a geometry-optimized Ce2NdGa2Au2 structure. The functional is PBE.

```
data_Ce2NdGa2Au2
_chemical_formula_sum 'Ce6 Nd3 Ga6 Au6'
_cell_length_a 4.4899
_cell_length_b 4.4899
_cell_length_c 27.4773
_cell_angle_alpha 90.00
_cell_angle_beta 90.00
_cell_angle_gamma 120.00
_space_group_name_H-M_alt 'R -3 m'
_space_group_IT_number 166
_space_group_name_Hall '-R 3 2"'
loop_
_atom_site_label
_atom_site_fract_x
_atom_site_fract_y
_atom_site_fract_z
Ce1 0.0000 0.0000 0.1404
Nd1 0.0000 0.0000 0.0000
Ga1 0.0000 0.0000 0.2584
Au1 0.0000 0.0000 0.4058
```

Results
**Fermi-level density of states**: 27.24 states/eV per cell
**Energy of formation**: -59.7 kJ per mole of atoms

***

Q: Among the records above, which one has the lowest Fermi-level density of states?
A: Ca2H2Se